Entry from Alexandria: a relaxed Ba2TcRu crystal (PBE).

Its density of states at the Fermi level is 1.15 states/eV per atom.

Geometry as CIF:
```
data_Ba2TcRu
_cell_length_a 6.3555
_cell_length_b 6.3555
_cell_length_c 6.3555
_cell_angle_alpha 142.21
_cell_angle_beta 128.54
_cell_angle_gamma 65.59
_symmetry_space_group_name_H-M 'P 1'
_symmetry_Int_Tables_number 1
_symmetry_space_group_name_Hall 'P 1'
loop_
_atom_site_label
_atom_site_type_symbol
_atom_site_fract_x
_atom_site_fract_y
_atom_site_fract_z
_atom_site_occupancy
Ba1 Ba 0.0000 0.0000 0.0000 1
Ba2 Ba 0.7098 0.2098 0.5000 1
Tc1 Tc 0.4069 0.4069 0.0000 1
Ru1 Ru 0.3036 0.8036 0.5000 1
```

Entry from Alexandria: a relaxed Ba2TcRu crystal (PBE).

Its density of states at the Fermi level is 1.38 states/eV per atom.

Geometry as CIF:
```
data_Ba2TcRu
_cell_length_a 3.5602
_cell_length_b 3.5602
_cell_length_c 9.7968
_cell_angle_alpha 90.00
_cell_angle_beta 90.00
_cell_angle_gamma 90.00
_symmetry_space_group_name_H-M 'P 1'
_symmetry_Int_Tables_number 1
_symmetry_space_group_name_Hall 'P 1'
loop_
_atom_site_label
_atom_site_type_symbol
_atom_site_fract_x
_atom_site_fract_y
_atom_site_fract_z
_atom_site_occupancy
Ba1 Ba 0.0000 0.0000 0.0000 1
Ba2 Ba 0.5000 0.5000 0.4178 1
Tc1 Tc 0.5000 0.5000 0.7273 1
Ru1 Ru 0.0000 0.0000 0.6875 1
```

Entry from Alexandria: a relaxed BaTcRu2 crystal (PBE).

Its density of states at the Fermi level is 1.46 states/eV per atom.

Geometry as CIF:
```
data_BaTcRu2
_cell_length_a 10.2152
_cell_length_b 10.2152
_cell_length_c 10.2152
_cell_angle_alpha 16.46
_cell_angle_beta 16.46
_cell_angle_gamma 16.46
_symmetry_space_group_name_H-M 'P 1'
_symmetry_Int_Tables_number 1
_symmetry_space_group_name_Hall 'P 1'
loop_
_atom_site_label
_atom_site_type_symbol
_atom_site_fract_x
_atom_site_fract_y
_atom_site_fract_z
_atom_site_occupancy
Ba1 Ba 0.0000 0.0000 0.0000 1
Tc1 Tc 0.2328 0.2328 0.2328 1
Ru1 Ru 0.4983 0.4983 0.4983 1
Ru2 Ru 0.7631 0.7631 0.7631 1
```

Values for DFT formation energy, eV/f.u., ordered as above
2.02 2.21 4.01
Values for relative energy among the computed polymorphs, meV per atom, ordered as above
251 299 577
Values for magnetization, μB per cell, ordered as above
0.00 0.00 0.00